Compound: Ca2ScAg2
Source: Alexandria
Functional: GGA-PBE
Structure: relaxed

Cell lengths 8.6798, 8.6798, 3.3745 Å; angles 90.00, 90.00, 90.00 degrees
Last column: nearest neighbours and their distance in Å.
Fractional coordinates of all 10 atoms:
Ag: 0.3381 0.1619 0.5000  6 Ca 2.97-3.11
Ag: 0.1619 0.6619 0.5000  6 Ca 2.97-3.11
Ag: 0.8381 0.3381 0.5000  6 Ca 2.97-3.11
Ag: 0.6619 0.8381 0.5000  6 Ca 2.97-3.11
Ca: 0.3613 0.8613 0.0000  6 Ag 2.97-3.11
Ca: 0.6387 0.1387 0.0000  6 Ag 2.97-3.11
Ca: 0.1387 0.3613 0.0000  6 Ag 2.97-3.11
Ca: 0.8613 0.6387 0.0000  6 Ag 2.97-3.11
Sc: 0.5000 0.5000 0.0000  4 Ca 3.36, 2 Sc 3.37, 8 Ag 3.67
Sc: 0.0000 0.0000 0.0000  4 Ca 3.36, 2 Sc 3.37, 8 Ag 3.67

Its symmetry is P4/mbm (127).

Compound: PrThIr
Source: Alexandria
Functional: GGA-PBE
Structure: relaxed

Cell lengths 4.9865, 4.9865, 4.9865 Å; angles 60.00, 60.00, 60.00 degrees
Last column: nearest neighbours and their distance in Å.
Fractional coordinates of all 3 atoms:
Pr: 0.0000 0.0000 0.0000  4 Ir 3.05
Th: 0.5000 0.5000 0.5000  4 Ir 3.05
Ir: 0.2500 0.2500 0.2500  4 Th 3.05, 4 Pr 3.05

Its symmetry is F-43m (216).

Compound: RbAsPd2
Source: Alexandria
Functional: GGA-PBE
Structure: relaxed

Cell lengths 6.6337, 7.1214, 15.9024 Å; angles 90.00, 90.00, 90.00 degrees
Last column: nearest neighbours and their distance in Å.
Fractional coordinates of all 32 atoms:
Pd: 0.3745 0.0613 0.4362  3 As 2.48-2.56, 3 Pd 2.69-2.77
Pd: 0.0509 0.4435 0.2121  3 As 2.66-2.68, 2 Pd 2.76
Pd: 0.4491 0.0565 0.7121  3 As 2.66-2.68, 2 Pd 2.76
Pd: 0.8745 0.9387 0.0638  3 As 2.48-2.56, 3 Pd 2.69-2.77
Pd: 0.6255 0.5613 0.5638  3 As 2.48-2.56, 3 Pd 2.69-2.77
Pd: 0.1255 0.0613 0.9362  3 As 2.48-2.56, 3 Pd 2.69-2.77
Pd: 0.6255 0.9387 0.5638  3 As 2.48-2.56, 3 Pd 2.69-2.77
Pd: 0.1255 0.4387 0.9362  3 As 2.48-2.56, 3 Pd 2.69-2.77
Pd: 0.5509 0.9435 0.2879  3 As 2.66-2.68, 2 Pd 2.76
Pd: 0.8745 0.5613 0.0638  3 As 2.48-2.56, 3 Pd 2.69-2.77
Pd: 0.5509 0.5565 0.2879  3 As 2.66-2.68, 2 Pd 2.76
Pd: 0.4491 0.4435 0.7121  3 As 2.66-2.68, 2 Pd 2.76
Pd: 0.9491 0.9435 0.7879  3 As 2.66-2.68, 2 Pd 2.76
Pd: 0.3745 0.4387 0.4362  3 As 2.48-2.56, 3 Pd 2.69-2.77
Pd: 0.0509 0.0565 0.2121  3 As 2.66-2.68, 2 Pd 2.76
Pd: 0.9491 0.5565 0.7879  3 As 2.66-2.68, 2 Pd 2.76
As: 0.5427 0.7500 0.4310  6 Pd 2.48-2.66
As: 0.6822 0.7500 0.6977  6 Pd 2.55-2.68
As: 0.9573 0.7500 0.9310  6 Pd 2.48-2.66
As: 0.4573 0.2500 0.5690  6 Pd 2.48-2.66
As: 0.3178 0.2500 0.3023  6 Pd 2.55-2.68
As: 0.0427 0.2500 0.0690  6 Pd 2.48-2.66
As: 0.1822 0.2500 0.8023  6 Pd 2.55-2.68
As: 0.8178 0.7500 0.1977  6 Pd 2.55-2.68
Rb: 0.4597 0.7500 0.8808  4 Pd 3.26-3.46, 3 As 3.26-3.43
Rb: 0.5403 0.2500 0.1192  4 Pd 3.26-3.46, 3 As 3.26-3.43
Rb: 0.9597 0.2500 0.6192  4 Pd 3.26-3.46, 3 As 3.26-3.43
Rb: 0.3379 0.7500 0.1074  6 Pd 3.34-3.48, 2 As 3.49-3.74, 1 Rb 3.69
Rb: 0.6621 0.2500 0.8926  6 Pd 3.34-3.48, 2 As 3.49-3.74, 1 Rb 3.69
Rb: 0.0403 0.7500 0.3808  4 Pd 3.26-3.46, 3 As 3.26-3.43
Rb: 0.1621 0.7500 0.6074  6 Pd 3.34-3.48, 2 As 3.49-3.74, 1 Rb 3.69
Rb: 0.8379 0.2500 0.3926  6 Pd 3.34-3.48, 2 As 3.49-3.74, 1 Rb 3.69

Its symmetry is Pnma (62).

Compound: Pm13Hg2
Source: Alexandria
Functional: GGA-PBE
Structure: relaxed

Cell lengths 6.5365, 8.6472, 9.5547 Å; angles 111.41, 78.41, 97.81 degrees
Last column: nearest neighbours and their distance in Å.
Fractional coordinates of all 15 atoms:
Pm: 0.4764 0.2057 0.1536  1 Hg 3.27, 3 Pm 3.60-3.65
Pm: 0.7123 0.9877 0.3517  2 Hg 3.19-3.35, 6 Pm 3.44-3.54
Pm: 0.9467 0.4198 0.2943  2 Hg 3.19-3.26, 2 Pm 3.48-3.54
Pm: 0.4592 0.6286 0.4150  1 Hg 3.16, 6 Pm 3.34-3.54
Pm: 0.5408 0.3714 0.5850  1 Hg 3.16, 6 Pm 3.34-3.54
Pm: 0.2877 0.0123 0.6483  2 Hg 3.19-3.35, 6 Pm 3.44-3.54
Pm: 0.2081 0.8197 0.2315  2 Hg 3.31-3.43, 6 Pm 3.54-3.70
Pm: 0.0000 0.0000 0.0000  12 Pm 3.54-3.84
Pm: 0.5236 0.7943 0.8464  1 Hg 3.27, 3 Pm 3.60-3.65
Pm: 0.7491 0.5962 0.0534  10 Pm 3.48-3.81
Pm: 0.0533 0.5802 0.7057  2 Hg 3.19-3.26, 2 Pm 3.48-3.54
Pm: 0.2509 0.4038 0.9466  10 Pm 3.48-3.81
Pm: 0.7919 0.1803 0.7685  2 Hg 3.31-3.43, 6 Pm 3.54-3.70
Hg: 0.1260 0.2103 0.4515  8 Pm 3.16-3.43
Hg: 0.8740 0.7897 0.5485  8 Pm 3.16-3.43

Its symmetry is P-1 (2).

Compound: TaCu2H
Source: Alexandria
Functional: GGA-PBE
Structure: relaxed

Cell lengths 5.1158, 5.1158, 5.0813 Å; angles 59.77, 59.77, 90.00 degrees
Last column: nearest neighbours and their distance in Å.
Fractional coordinates of all 8 atoms:
Ta: 0.7500 0.2500 0.5000  8 Cu 2.79-2.98, 4 Ta 3.12, 4 H 3.12
Ta: 0.0000 0.0000 0.0000  8 Cu 2.79-2.98, 4 Ta 3.12, 4 H 3.12
H: 0.2500 0.7500 0.5000  4 Cu 1.58
H: 0.5000 0.5000 0.0000  4 Cu 1.58
Cu: 0.3269 0.6250 0.2500  2 H 1.58
Cu: 0.3750 0.5769 0.7500  2 H 1.58
Cu: 0.8750 0.6731 0.7500  2 H 1.58
Cu: 0.4231 0.1250 0.2500  2 H 1.58

Its symmetry is I-42d (122).

Compound: SiIr2Au
Source: Alexandria
Functional: GGA-PBE
Structure: relaxed

Cell lengths 3.7868, 2.8178, 5.9176 Å; angles 76.23, 90.00, 90.00 degrees
Last column: nearest neighbours and their distance in Å.
Fractional coordinates of all 4 atoms:
Au: 0.5000 0.5631 0.7495  2 Si 2.63, 2 Au 2.82, 4 Ir 2.82
Ir: 0.5000 0.2873 0.2998  4 Si 2.48
Ir: 0.0000 0.9291 0.0179  1 Si 2.38
Si: 0.0000 0.7205 0.4327  5 Ir 2.38-2.48, 2 Au 2.63

The uncorrected formation energy comes out at 0.0186 eV/atom. Its symmetry is Amm2 (38).

Compound: ReTe2AuI
Source: Alexandria
Functional: GGA-PBE
Structure: relaxed

Cell lengths 5.1057, 5.1057, 5.8357 Å; angles 90.00, 90.00, 90.00 degrees
Last column: nearest neighbours and their distance in Å.
Fractional coordinates of all 5 atoms:
Re: 0.0000 0.0000 0.0000  4 Te 2.55
Au: 0.5000 0.5000 0.5000  4 I 3.61, 8 Te 3.88
Te: 0.0000 0.5000 0.0000  2 Re 2.55
Te: 0.5000 0.0000 0.0000  2 Re 2.55
I: 0.0000 0.0000 0.5000  2 Re 2.92

The uncorrected formation energy comes out at 0.8414 eV/atom. Its symmetry is P4/mmm (123).

Compound: LuPu2Hg
Source: Alexandria
Functional: GGA-PBE
Structure: relaxed

Cell lengths 3.3172, 3.3172, 12.2503 Å; angles 82.22, 82.22, 60.00 degrees
Last column: nearest neighbours and their distance in Å.
Fractional coordinates of all 4 atoms:
Pu: 0.0879 0.0879 0.7364  1 Hg 3.19, 6 Pu 3.32, 3 Lu 3.44
Pu: 0.9121 0.9121 0.2636  1 Hg 3.19, 6 Pu 3.32, 3 Lu 3.44
Hg: 0.0000 0.0000 0.0000  2 Pu 3.19, 6 Hg 3.32
Lu: 0.5000 0.5000 0.5000  6 Lu 3.32, 6 Pu 3.44

Its symmetry is R-3m (166).

The calculation returns the following electronic total energy values, one per record and in order: -0.2344; -0.5487; -0.3179; -0.3121; -0.4003; -0.4841; -0.2845; -0.5952 Ry per atom.
The calculation returns the following spin magnetization values, one per record and in order: 0.000; 0.000; 0.000; 0.000; 0.176; 0.000; 0.000; 3.065 μB per atom.
The calculation returns the following density values, one per record and in order: 4.5; 10.7; 6.6; 7.7; 11.0; 16.5; 8.4; 12.4 Mg/m³.